# B2RhS | the Alexandria database | GGA-PBE | optimized geometry
# Relative energy among the computed polymorphs = 424 kJ/mol of formula units
# Formation energy (no corrections) = 1.293 eV/atom
# Magnetization = 0.000 μB per formula unit
# DOS at the Fermi energy = 0.42 states/eV per atom
# Electronic total energy = -78.64 eV/cell
data_B2RhS
_chemical_formula_sum 'B8 Rh4 S4'
_space_group_name_H-M_alt 'F m -3 m'
_space_group_IT_number 225
_space_group_name_Hall '-F 4 2 3'
_cell_length_a 5.5142
_cell_length_b 5.5142
_cell_length_c 5.5142
_cell_angle_alpha 90.00
_cell_angle_beta 90.00
_cell_angle_gamma 90.00
loop_
_atom_site_label
_atom_site_type_symbol
_atom_site_fract_x
_atom_site_fract_y
_atom_site_fract_z
B1 B 0.2500 0.2500 0.2500
Rh1 Rh 0.0000 0.0000 0.0000
S1 S 0.0000 0.0000 0.5000



# BRhS4 | the Alexandria database | GGA-PBE | optimized geometry
# Formation energy (no corrections) = 0.043 eV/atom
# Magnetization = 0.000 μB per formula unit
# DOS at the Fermi energy = 0.53 states/eV per atom
# Electronic total energy = -60.56 eV/cell
data_BRhS4
_chemical_formula_sum 'B2 Rh2 S8'
_space_group_name_H-M_alt 'C 1 2/m 1'
_space_group_IT_number 12
_space_group_name_Hall '-C 2y'
_cell_length_a 10.7602
_cell_length_b 3.5299
_cell_length_c 5.6579
_cell_angle_alpha 90.00
_cell_angle_beta 117.03
_cell_angle_gamma 90.00
loop_
_atom_site_label
_atom_site_type_symbol
_atom_site_fract_x
_atom_site_fract_y
_atom_site_fract_z
B1 B 0.0000 0.0000 0.0000
Rh1 Rh 0.0000 0.5000 0.5000
S1 S 0.1028 0.0000 0.3706
S2 S 0.1448 0.5000 0.9567



# BRh2S | the Alexandria database | GGA-PBE | optimized geometry
# Relative energy among the computed polymorphs = 0 kJ/mol of formula units
# Formation energy (no corrections) = -0.131 eV/atom
# Magnetization = 0.000 μB per formula unit
# DOS at the Fermi energy = 0.45 states/eV per atom
# Electronic total energy = -104.12 eV/cell
data_BRh2S
_chemical_formula_sum 'B4 Rh8 S4'
_space_group_name_H-M_alt 'I -4 2 d'
_space_group_IT_number 122
_space_group_name_Hall 'I -4 2bw'
_cell_length_a 4.8778
_cell_length_b 4.8778
_cell_length_c 10.2600
_cell_angle_alpha 90.00
_cell_angle_beta 90.00
_cell_angle_gamma 90.00
loop_
_atom_site_label
_atom_site_type_symbol
_atom_site_fract_x
_atom_site_fract_y
_atom_site_fract_z
B1 B 0.0000 0.0000 0.0000
Rh1 Rh 0.2010 0.2500 0.1250
S1 S 0.0000 0.0000 0.5000